(1)
DFT (GGA-PBE) results for a geometry-optimized AlHg5 structure.

* formation energy: 0.076 eV per atom
* final energy: -0.80 eV/atom
* DOS(E_F): 2.585 states/eV/cell

a b c (Å): 3.1908 20.6526 4.7322
angles (deg): 90.00 90.00 90.00
Space group Cmmm (No. 65)
Inequivalent atoms, fractional coordinates:
Al1 0.0000 0.0000 0.0000
Hg1 0.0000 0.1839 0.5000
Hg2 0.0000 0.3788 0.0000
Hg3 0.0000 0.5000 0.5000


(2)
DFT (GGA-PBE) results for a geometry-optimized Rb2GaBiSe4 structure.

* final energy: -3.59 eV/atom
* raw formation energy: -0.7443 eV per atom
* DOS(E_F): 0.000 states/eV/cell

a b c (Å): 6.6760 14.7639 25.2070
angles (deg): 90.00 90.00 90.00
Space group Fddd (No. 70, origin choice 2)
Inequivalent atoms, fractional coordinates:
Rb1 0.1250 0.1250 0.3092
Ga1 0.1250 0.1250 0.6250
Bi1 0.1250 0.1250 0.1250
Se1 0.0842 0.2737 0.8200


(3)
DFT (GGA-PBE) results for a geometry-optimized Sr2TlInAu6 structure.

* formation energy: -0.158 eV per atom
* final energy: -2.97 eV/atom
* DOS(E_F): 11.892 states/eV/cell

a b c (Å): 10.5917 10.5917 10.5917
angles (deg): 90.00 90.00 90.00
Space group Fm-3m (No. 225)
Inequivalent atoms, fractional coordinates:
Sr1 0.2500 0.2500 0.2500
Tl1 0.0000 0.0000 0.0000
In1 0.0000 0.0000 0.5000
Au1 0.0000 0.0000 0.2527


(4)
DFT (GGA-PBE) results for a geometry-optimized Ac2ScCd16 structure.

* formation energy: -0.193 eV per atom
* final energy: -1.73 eV/atom
* DOS(E_F): 24.483 states/eV/cell

a b c (Å): 10.2202 10.2202 15.3287
angles (deg): 90.00 90.00 120.00
Space group R3m (No. 160, hexagonal axes)
Inequivalent atoms, fractional coordinates:
Ac1 0.0000 0.0000 0.0000
Ac2 0.0000 0.0000 0.3298
Sc1 0.0000 0.0000 0.5709
Cd1 0.0000 0.0000 0.7710
Cd2 0.0001 0.2914 0.6607
Cd3 0.0010 0.5005 0.1617
Cd4 0.1679 0.3359 0.1383
Cd5 0.1770 0.3539 0.8468


(5)
DFT (GGA-PBE) results for a geometry-optimized AcCdAs2O8 structure.

* final energy: -6.11 eV/atom
* raw formation energy: -1.6068 eV per atom
* DOS(E_F): 19.079 states/eV/cell

a b c (Å): 7.5078 7.5078 6.6461
angles (deg): 90.00 90.00 90.00
Space group I-4m2 (No. 119)
Inequivalent atoms, fractional coordinates:
Ac1 0.0000 0.0000 0.0000
Cd1 0.0000 0.5000 0.2500
As1 0.0000 0.0000 0.5000
As2 0.0000 0.5000 0.7500
O1 0.0000 0.1802 0.3382
O2 0.0000 0.3263 0.9188


(6)
DFT (GGA-PBE) results for a geometry-optimized KCa2Sb structure.

* final energy: -2.67 eV/atom
* raw formation energy: -0.3609 eV per atom
* DOS(E_F): 5.556 states/eV/cell

a b c (Å): 4.2987 6.1906 12.7055
angles (deg): 90.00 90.00 90.00
Space group Immm (No. 71)
Inequivalent atoms, fractional coordinates:
K1 0.0000 0.0000 0.0000
Ca1 0.0000 0.5000 0.1762
Sb1 0.0000 0.0000 0.5000